[1]
# Sb2C

A geometry-optimized Sb2C structure (PBE-GGA, the Alexandria database).

Output
space-group type: Fd-3m (227)
crystal system: cubic
volume: 26.3 A^3/atom
raw formation energy: 2.441 eV/atom
Fermi-level density of states: 7.43 states/eV per cell

Structure (CIF):
```
data_Sb2C
_chemical_formula_sum 'Sb4 C2'
_symmetry_space_group_name_H-M 'P 1'
_symmetry_Int_Tables_number 1
_cell_length_a 6.0630
_cell_length_b 6.0630
_cell_length_c 6.0630
_cell_angle_alpha 60.00
_cell_angle_beta 60.00
_cell_angle_gamma 60.00
loop_
_symmetry_equiv_pos_as_xyz
'x,y,z'
loop_
_atom_site_label
_atom_site_type_symbol
_atom_site_fract_x
_atom_site_fract_y
_atom_site_fract_z
Sb1 Sb 0.1250 0.6250 0.1250
Sb2 Sb 0.1250 0.1250 0.1250
Sb3 Sb 0.1250 0.1250 0.6250
Sb4 Sb 0.6250 0.1250 0.1250
C1 C 0.7500 0.7500 0.7500
C2 C 0.5000 0.5000 0.5000
```



[2]
# SbC

A geometry-optimized SbC structure (PBE-GGA, the Alexandria database).

Output
space-group type: Imm2 (44)
crystal system: orthorhombic
volume: 16.1 A^3/atom
raw formation energy: 1.429 eV/atom
Fermi-level density of states: 1.25 states/eV per cell

Structure (CIF):
```
data_SbC
_chemical_formula_sum 'Sb3 C3'
_symmetry_space_group_name_H-M 'P 1'
_symmetry_Int_Tables_number 1
_cell_length_a 6.0415
_cell_length_b 6.0415
_cell_length_c 6.0415
_cell_angle_alpha 148.16
_cell_angle_beta 122.58
_cell_angle_gamma 67.17
loop_
_symmetry_equiv_pos_as_xyz
'x,y,z'
loop_
_atom_site_label
_atom_site_type_symbol
_atom_site_fract_x
_atom_site_fract_y
_atom_site_fract_z
Sb1 Sb 0.5119 0.8311 0.6808
Sb2 Sb 0.1226 0.5000 0.6226
Sb3 Sb 0.8497 0.1689 0.6808
C1 C 0.7374 0.5000 0.2374
C2 C 0.2486 0.1927 0.0559
C3 C 0.8631 0.8073 0.0559
```



[3]
# SbC2

A geometry-optimized SbC2 structure (PBE-GGA, the Alexandria database).

Output
space-group type: P4/mmm (123)
crystal system: tetragonal
volume: 13.4 A^3/atom
raw formation energy: 2.700 eV/atom
Fermi-level density of states: 1.76 states/eV per cell

Structure (CIF):
```
data_SbC2
_chemical_formula_sum 'Sb1 C2'
_symmetry_space_group_name_H-M 'P 1'
_symmetry_Int_Tables_number 1
_cell_length_a 3.4754
_cell_length_b 3.4754
_cell_length_c 3.3281
_cell_angle_alpha 90.00
_cell_angle_beta 90.00
_cell_angle_gamma 90.00
loop_
_symmetry_equiv_pos_as_xyz
'x,y,z'
loop_
_atom_site_label
_atom_site_type_symbol
_atom_site_fract_x
_atom_site_fract_y
_atom_site_fract_z
C1 C 0.0000 0.5000 0.5000
C2 C 0.5000 0.0000 0.5000
Sb1 Sb 0.0000 0.0000 0.0000
```



[4]
# Sb3C

A geometry-optimized Sb3C structure (PBE-GGA, the Alexandria database).

Output
space-group type: P4/mmm (123)
crystal system: tetragonal
volume: 22.3 A^3/atom
raw formation energy: 1.541 eV/atom
Fermi-level density of states: 3.67 states/eV per cell

Structure (CIF):
```
data_Sb3C
_chemical_formula_sum 'Sb3 C1'
_symmetry_space_group_name_H-M 'P 1'
_symmetry_Int_Tables_number 1
_cell_length_a 4.8870
_cell_length_b 4.8870
_cell_length_c 3.7290
_cell_angle_alpha 90.00
_cell_angle_beta 90.00
_cell_angle_gamma 90.00
loop_
_symmetry_equiv_pos_as_xyz
'x,y,z'
loop_
_atom_site_label
_atom_site_type_symbol
_atom_site_fract_x
_atom_site_fract_y
_atom_site_fract_z
Sb1 Sb 0.0000 0.5000 0.5000
Sb2 Sb 0.5000 0.5000 0.0000
Sb3 Sb 0.5000 0.0000 0.5000
C1 C 0.0000 0.0000 0.0000
```



Q: What is the formula in the third record?
A: SbC2